(a)
{
  "formula": "HfMgCuSn",
  "functional": "GGA-PBE",
  "state": "relaxed",
  "lattice": [[0.000, 3.384, 3.384], [3.384, 0.000, 3.384], [3.384, 3.384, 0.000]],
  "species": ["Hf", "Mg", "Cu", "Sn"],
  "fractional_positions": [[0.000, 0.000, 0.000], [0.750, 0.750, 0.750], [0.500, 0.500, 0.500], [0.250, 0.250, 0.250]],
  "sg": "F-43m, No. 216",
  "magmom_total_mub_per_fu": 0.03
}

***

(b)
{
  "formula": "HfMgCuSn",
  "functional": "GGA-PBE",
  "state": "relaxed",
  "lattice": [[0.000, 3.377, 3.377], [3.377, 0.000, 3.377], [3.377, 3.377, 0.000]],
  "species": ["Hf", "Mg", "Cu", "Sn"],
  "fractional_positions": [[0.000, 0.000, 0.000], [0.250, 0.250, 0.250], [0.750, 0.750, 0.750], [0.500, 0.500, 0.500]],
  "sg": "F-43m, No. 216",
  "magmom_total_mub_per_fu": 0.02
}

***

Which structure loses on stability? (b) does.

***

(a)
{
  "formula": "HfMgTlCu",
  "functional": "GGA-PBE",
  "state": "relaxed",
  "lattice": [[0.000, 3.406, 3.406], [3.406, 0.000, 3.406], [3.406, 3.406, 0.000]],
  "species": ["Hf", "Mg", "Tl", "Cu"],
  "fractional_positions": [[0.000, 0.000, 0.000], [0.750, 0.750, 0.750], [0.250, 0.250, 0.250], [0.500, 0.500, 0.500]],
  "sg": "F-43m, No. 216",
  "magmom_total_mub_per_fu": 0.00
}

***

(b)
{
  "formula": "HfMgTlCu",
  "functional": "GGA-PBE",
  "state": "relaxed",
  "lattice": [[0.000, 3.372, 3.372], [3.372, 0.000, 3.372], [3.372, 3.372, 0.000]],
  "species": ["Hf", "Mg", "Tl", "Cu"],
  "fractional_positions": [[0.000, 0.000, 0.000], [0.250, 0.250, 0.250], [0.500, 0.500, 0.500], [0.750, 0.750, 0.750]],
  "sg": "F-43m, No. 216",
  "magmom_total_mub_per_fu": 0.00
}

***

Which structure loses on stability? (a) does.

***

(a)
{
  "formula": "HfCuMo",
  "functional": "GGA-PBE",
  "state": "relaxed",
  "lattice": [[0.000, 3.007, 3.007], [3.007, 0.000, 3.007], [3.007, 3.007, 0.000]],
  "species": ["Hf", "Cu", "Mo"],
  "fractional_positions": [[0.000, 0.000, 0.000], [0.250, 0.250, 0.250], [0.500, 0.500, 0.500]],
  "sg": "F-43m, No. 216",
  "magmom_total_mub_per_fu": 0.11
}

***

(b)
{
  "formula": "HfCuMo",
  "functional": "GGA-PBE",
  "state": "relaxed",
  "lattice": [[0.000, 3.093, 3.093], [3.093, 0.000, 3.093], [3.093, 3.093, 0.000]],
  "species": ["Hf", "Cu", "Mo"],
  "fractional_positions": [[0.000, 0.000, 0.000], [0.750, 0.750, 0.750], [0.250, 0.250, 0.250]],
  "sg": "F-43m, No. 216",
  "magmom_total_mub_per_fu": 2.28
}

***

Which structure loses on stability? (b) does.